PmSm6 | GGA-PBE | optimized geometry

POSCAR file:
```
PmSm6
1.0
6.6083 0.0000 0.0000
0.0000 6.6083 0.0000
0.0000 0.0000 11.2151
Pm Sm
2 12
Cartesian
1.6521 4.9562 0.0000
4.9562 1.6521 0.0000
0.5435 3.8476 4.0546
0.5435 6.0648 7.1605
1.6521 1.6521 1.5558
1.6521 1.6521 9.6593
2.7607 3.8476 7.1605
2.7607 6.0648 4.0546
3.8476 0.5435 7.1605
3.8476 2.7607 4.0546
4.9562 4.9562 1.5558
4.9562 4.9562 9.6593
6.0648 0.5435 4.0546
6.0648 2.7607 7.1605
```

Total DFT energy (no corrections), eV per cell: -62.761
ΔE_f, eV per atom: 0.2407
Calculated volume, A^3/atom: 34.98
Spin magnetization, μB per atom: 0.000